[1]
A relaxed structure of PmCuCl6, computed with PBE. Values from VASP.

Geometry as Quantum ESPRESSO input:
```
&SYSTEM
  ibrav = 0, nat = 8, ntyp = 3
/
ATOMIC_SPECIES
Pm 145.00 Pm.upf
Cu 63.55 Cu.upf
Cl 35.45 Cl.upf
ATOMIC_POSITIONS crystal
Pm 0.000 0.000 0.000
Cu 0.500 0.500 0.000
Cl 0.016 0.801 0.376
Cl 0.274 0.387 0.836
Cl 0.441 0.824 0.828
Cl 0.559 0.176 0.172
Cl 0.726 0.613 0.164
Cl 0.984 0.199 0.624
CELL_PARAMETERS angstrom
5.498 0.000 0.000
0.281 6.800 0.000
1.978 2.296 6.552
```

Output
For the total moment, the calculation gives 0.00 Bohr magnetons per cell. Its energy relative to the elements, uncorrected is -1.182 eV/atom.

---

[2]
A relaxed structure of KBeRhF6, computed with PBE. Values from VASP.

Geometry as Quantum ESPRESSO input:
```
&SYSTEM
  ibrav = 0, nat = 9, ntyp = 4
/
ATOMIC_SPECIES
K 39.10 K.upf
Be 9.01 Be.upf
Rh 102.91 Rh.upf
F 19.00 F.upf
ATOMIC_POSITIONS crystal
K 0.000 0.000 0.000
Be 0.667 0.333 0.500
Rh 0.333 0.667 0.500
F 0.382 0.034 0.674
F 0.382 0.348 0.326
F 0.652 0.034 0.326
F 0.652 0.618 0.674
F 0.966 0.348 0.674
F 0.966 0.618 0.326
CELL_PARAMETERS angstrom
5.042 0.000 0.000
-2.521 4.366 0.000
0.000 0.000 5.855
```

Output
For the total moment, the calculation gives 0.17 Bohr magnetons per cell. Its energy relative to the elements, uncorrected is -2.333 eV/atom.